VASP calculation (PBE) on BaCo2Te after structural relaxation.

Lattice parameters (Å, degrees): 6.1648 6.1648 6.1648 41.49 41.49 41.49
Fractional coordinates of all 4 atoms:
Ba 0.0000 0.0000 0.0000
Co 0.1845 0.1845 0.1845
Co 0.8155 0.8155 0.8155
Te 0.5000 0.5000 0.5000

## Properties
The uncorrected formation energy comes out at -97 meV per atom. The density of states at the Fermi level is 6.0 states/eV/cell. The final energy is -19.7 eV/cell.